1.
VASP calculation (meta-GGA SCAN) on InSb2OsBr at its PBEsol-relaxed geometry.

uncorrected formation energy: 0.446 eV per formula unit
crystal system: tetragonal

Cell and atoms, written as POSCAR:
```
InSb2OsBr
1.0
5.051 0.000 0.000
0.000 5.051 0.000
0.000 0.000 5.238
Sb Os Br In
2 1 1 1
Cartesian
0.000 2.526 0.000
2.526 0.000 0.000
0.000 0.000 0.000
2.526 2.526 2.619
0.000 0.000 2.619
```



2.
VASP calculation (meta-GGA SCAN) on LiPm2Pt at its PBEsol-relaxed geometry.

formation enthalpy at 0 K: -0.7007 eV per atom
crystal system: cubic

Cell and atoms, written as POSCAR:
```
LiPm2Pt
1.0
-2.590 2.726 -3.346
-3.848 -2.073 -2.496
-4.720 1.419 1.023
Pm Pt Li
2 1 1
Cartesian
-2.789 0.518 -1.205
-8.368 1.554 -3.614
0.000 0.000 0.000
-5.579 1.036 -2.409
```



3.
VASP calculation (meta-GGA SCAN) on AgIr2Au at its PBEsol-relaxed geometry.

formation enthalpy at 0 K: 0.3619 eV per atom
crystal system: monoclinic

Cell and atoms, written as POSCAR:
```
AgIr2Au
1.0
2.781 0.000 0.000
-1.391 4.535 0.000
0.000 -0.821 4.875
Ir Au Ag
2 1 1
Cartesian
1.391 3.711 4.691
0.000 1.670 3.840
1.391 2.024 1.306
1.391 -0.386 2.351
```



4.
VASP calculation (meta-GGA SCAN) on MgSCl2 at its PBEsol-relaxed geometry.

uncorrected formation energy: -0.638 eV per formula unit
crystal system: trigonal

Cell and atoms, written as POSCAR:
```
MgSCl2
1.0
3.779 0.000 0.000
1.889 3.272 0.000
1.889 1.091 9.480
S Mg Cl
1 1 2
Cartesian
3.779 2.182 4.740
0.000 0.000 0.000
5.668 3.272 2.171
1.889 1.091 7.308
```



5.
VASP calculation (meta-GGA SCAN) on YCdBi2 at its PBEsol-relaxed geometry.

formation enthalpy at 0 K: -0.2768 eV per atom
crystal system: tetragonal

Cell and atoms, written as POSCAR:
```
YCdBi2
1.0
6.677 0.000 0.000
3.338 5.877 0.000
3.338 0.000 5.877
Y Bi Cd
2 4 2
Cartesian
3.338 0.000 0.000
5.008 2.939 2.939
7.511 0.109 2.830
7.511 5.768 3.048
9.181 2.830 5.768
2.504 3.048 0.109
0.000 0.000 0.000
8.346 2.939 2.939
```



6.
VASP calculation (meta-GGA SCAN) on BTe3Rh at its PBEsol-relaxed geometry.

uncorrected formation energy: 6.059 eV per formula unit
crystal system: cubic

Cell and atoms, written as POSCAR:
```
BTe3Rh
1.0
-3.792 3.102 1.532
-1.669 0.350 -4.841
-3.030 -4.074 0.750
B Te Rh
1 3 1
Cartesian
-4.246 -0.311 -1.280
-0.835 0.175 -2.421
-1.515 -2.037 0.375
-1.896 1.551 0.766
0.000 0.000 0.000
```



7.
VASP calculation (meta-GGA SCAN) on BaTcSbC2 at its PBEsol-relaxed geometry.

uncorrected formation energy: 15.705 eV per formula unit
crystal system: tetragonal

Cell and atoms, written as POSCAR:
```
BaTcSbC2
1.0
-3.397 2.545 -1.521
-2.653 -3.642 -0.166
-1.834 1.068 5.883
Sb C Ba Tc
1 2 1 1
Cartesian
-0.917 0.534 2.941
-1.327 -1.821 -0.083
-1.699 1.272 -0.761
0.000 0.000 0.000
-3.943 -0.015 2.098
```



8.
VASP calculation (meta-GGA SCAN) on LuNbO4 at its PBEsol-relaxed geometry.

uncorrected formation energy: -20.010 eV per formula unit
crystal system: monoclinic

Cell and atoms, written as POSCAR:
```
LuNbO4
1.0
-3.905 0.677 0.008
1.304 -4.145 5.366
1.138 6.538 2.284
Lu Nb O
2 2 8
Cartesian
-2.113 -0.630 3.721
0.649 3.699 3.937
-1.574 2.451 6.104
0.110 0.618 1.554
-2.385 -2.216 5.133
-1.839 0.936 5.111
-0.159 -0.953 2.951
0.433 2.432 5.840
-1.897 0.637 1.818
-1.305 4.022 4.706
0.375 2.133 2.546
0.921 5.285 2.524
```



Number 1: V 133.6 Å³/f.u.. Number 2: V 90.2 Å³/f.u.. Number 3: V 61.5 Å³/f.u.. Number 4: V 117.2 Å³/f.u.. Number 5: V 115.3 Å³/f.u.. Number 6: V 135.2 Å³/f.u.. Number 7: V 127.2 Å³/f.u.. Number 8: V 88.1 Å³/f.u..